Below is a relaxed structure of NaPaO3, with properties calculated at the PBE level.

Lattice parameters (Å, degrees): 5.442 5.714 8.898 90.00 90.00 90.00
Fractional positions:
O 0.808 0.623 0.750
Na 0.500 0.000 0.000
O 0.707 0.297 0.104
O 0.293 0.703 0.604
O 0.207 0.203 0.604
O 0.793 0.797 0.104
Pa 0.546 0.564 0.250
O 0.692 0.123 0.750
O 0.793 0.797 0.396
Na 0.000 0.500 0.000
Pa 0.454 0.436 0.750
Pa 0.954 0.064 0.250
Pa 0.046 0.936 0.750
Na 0.500 0.000 0.500
O 0.192 0.377 0.250
O 0.308 0.877 0.250
Na 0.000 0.500 0.500
O 0.707 0.297 0.396
O 0.207 0.203 0.896
O 0.293 0.703 0.896


Below is a relaxed structure of Na2ZnPbO4, with properties calculated at the PBE level.

Lattice parameters (Å, degrees): 5.413 5.811 9.287 90.00 125.40 90.00
Fractional positions:
Na 0.485 0.174 0.501
O 0.887 0.147 0.483
O 0.112 0.307 0.227
Na 0.236 0.306 0.748
O 0.377 0.196 0.016
O 0.684 0.672 0.274
Pb 0.749 0.323 0.252
Na 0.236 0.694 0.248
O 0.684 0.328 0.774
Zn 0.996 0.181 0.000
Pb 0.749 0.677 0.752
Na 0.485 0.826 0.001
O 0.887 0.853 0.983
Zn 0.996 0.819 0.500
O 0.112 0.693 0.727
O 0.377 0.804 0.516


Below is a relaxed structure of Na4PdO3, with properties calculated at the PBE level.

Lattice parameters (Å, degrees): 5.633 6.280 8.070 110.54 90.01 116.62
Fractional positions:
Pd 0.711 0.978 0.496
O 0.040 0.350 0.138
Pd 0.960 0.978 0.996
O 0.003 0.350 0.638
Na 0.268 0.201 0.730
O 0.673 0.627 0.392
O 0.353 0.113 0.976
Na 0.223 0.331 0.392
Na 0.357 0.746 0.798
Na 0.474 0.545 0.120
O 0.647 0.628 0.892
Na 0.082 0.746 0.298
Na 0.802 0.332 0.892
Na 0.764 0.545 0.620
O 0.454 0.113 0.476
Na 0.627 0.201 0.230


Below is a relaxed structure of NaPd2O4, with properties calculated at the PBE level.

Lattice parameters (Å, degrees): 6.306 6.306 6.306 119.99 90.02 119.99
Fractional positions:
O 0.182 0.788 0.394
O 0.568 0.712 0.856
O 0.144 0.288 0.432
Pd 0.375 0.250 0.625
O 0.606 0.212 0.394
Pd 0.375 0.750 0.625
O 0.606 0.212 0.818
O 0.606 0.788 0.394
Pd 0.375 0.750 0.125
O 0.144 0.712 0.856
Na 0.750 0.500 0.250
Pd 0.875 0.250 0.625
Na 0.000 0.000 0.000
O 0.144 0.288 0.856


Below is a relaxed structure of Na5PdO4, with properties calculated at the PBE level.

Lattice parameters (Å, degrees): 7.962 5.976 5.659 90.00 90.00 90.00
Fractional positions:
Na 0.308 0.910 0.248
Pd 0.500 0.321 0.984
Na 0.172 0.580 0.936
O 0.000 0.838 0.168
O 0.741 0.257 0.085
O 0.259 0.257 0.085
O 0.241 0.743 0.585
Na 0.328 0.420 0.436
Na 0.500 0.788 0.747
Pd 0.000 0.679 0.484
Na 0.000 0.212 0.247
O 0.500 0.162 0.668
Na 0.692 0.910 0.248
Na 0.192 0.090 0.748
Na 0.808 0.090 0.748
Na 0.828 0.580 0.936
Na 0.672 0.420 0.436
O 0.500 0.625 0.153
O 0.759 0.743 0.585
O 0.000 0.375 0.653


Below is a relaxed structure of Na2Pd2O3, with properties calculated at the PBE level.

Computed properties:
ΔE to the lowest computed polymorph, kJ/mol of formula units: 129

Lattice parameters (Å, degrees): 5.125 5.125 5.125 70.29 70.29 70.29
Fractional positions:
Pd 0.747 0.747 0.747
O 0.500 0.000 0.000
Pd 0.253 0.253 0.253
Na 0.000 0.000 0.000
Na 0.500 0.500 0.500
O 0.000 0.000 0.500
O 0.000 0.500 0.000


Below is a relaxed structure of Na2Pd2O3, with properties calculated at the PBE level.

Computed properties:
ΔE to the lowest computed polymorph, kJ/mol of formula units: 0

Lattice parameters (Å, degrees): 5.960 5.960 5.960 109.47 109.47 109.47
Fractional positions:
Na 0.000 0.374 0.500
Pd 0.500 0.000 0.890
Na 0.126 0.126 0.126
Pd 0.000 0.890 0.500
O 0.250 0.613 0.363
O 0.363 0.250 0.613
O 0.613 0.363 0.250
Na 0.500 0.000 0.374
Na 0.374 0.500 0.000
O 0.137 0.750 0.887
Pd 0.890 0.500 0.000
O 0.887 0.137 0.750
O 0.750 0.887 0.137
Pd 0.610 0.610 0.610


Below is a relaxed structure of Na4PdO3, with properties calculated at the PBE level.

Lattice parameters (Å, degrees): 6.269 6.269 8.076 110.14 110.14 53.72
Fractional positions:
O 0.322 0.287 0.612
Na 0.970 0.244 0.451
O 0.651 0.681 0.859
O 0.681 0.651 0.359
Na 0.524 0.101 0.357
Na 0.563 0.852 0.629
Pd 0.614 0.368 0.753
Na 0.852 0.563 0.129
O 0.287 0.322 0.112
O 0.977 0.872 0.272
O 0.872 0.977 0.772
Na 0.244 0.970 0.951
Na 0.700 0.059 0.019
Na 0.101 0.524 0.857
Na 0.059 0.700 0.519
Pd 0.368 0.614 0.253


Below is a relaxed structure of Na2PdPtO4, with properties calculated at the PBE level.

Lattice parameters (Å, degrees): 5.902 5.822 5.822 33.61 90.00 90.00
Fractional positions:
O 0.754 0.380 0.380
Na 0.000 0.781 0.781
Na 0.500 0.219 0.219
O 0.741 0.620 0.620
O 0.259 0.620 0.620
Pd 0.000 0.503 0.503
O 0.246 0.380 0.380
Pt 0.500 0.497 0.497


Below is a relaxed structure of RbNaPdO2, with properties calculated at the PBE level.

Lattice parameters (Å, degrees): 5.879 5.879 5.879 148.72 126.11 63.65
Fractional positions:
O 0.877 0.377 0.500
Rb 0.659 0.659 0.000
Pd 0.008 0.008 0.000
Na 0.312 0.312 0.000
O 0.144 0.644 0.500


Below is a relaxed structure of Na2PdS2O8, with properties calculated at the PBE level.

Lattice parameters (Å, degrees): 4.755 5.745 6.823 74.62 86.01 70.66
Fractional positions:
O 0.105 0.851 0.846
O 0.722 0.591 0.182
O 0.895 0.149 0.154
Pd 0.500 0.000 0.500
O 0.278 0.409 0.818
S 0.881 0.324 0.280
Na 0.800 0.266 0.812
Na 0.200 0.734 0.188
O 0.256 0.764 0.517
O 0.811 0.683 0.667
O 0.189 0.317 0.333
O 0.744 0.236 0.483
S 0.119 0.676 0.720


Below is a relaxed structure of NaTl3Pd2O6, with properties calculated at the PBE level.

Lattice parameters (Å, degrees): 6.127 6.127 6.561 90.00 90.00 120.00
Fractional positions:
Pd 0.667 0.333 0.772
O 0.691 0.846 0.243
O 0.154 0.846 0.243
O 0.846 0.154 0.757
Tl 0.667 0.333 0.281
Na 0.000 0.000 0.500
O 0.309 0.154 0.757
Pd 0.333 0.667 0.228
O 0.154 0.309 0.243
Tl 0.333 0.667 0.719
Tl 0.000 0.000 0.000
O 0.846 0.691 0.757


Total DFT energy (no corrections) across the listed records, respectively: -152.2, -75.4, -66.7, -72.4, -83.7, -30.3, -63.2, -66.8, -40.5, -22.0, -74.3, -53.6 eV/cell.